i) # CePmIn | Alexandria | GGA-PBE | optimized geometry
data_CePmIn
_chemical_formula_sum 'Ce1 Pm1 In1'
_symmetry_space_group_name_H-M 'P -6 m 2'
_symmetry_Int_Tables_number 187
_symmetry_space_group_name_Hall 'P -6 2'
_cell_length_a 5.3847
_cell_length_b 5.3847
_cell_length_c 3.2453
_cell_angle_alpha 90.00
_cell_angle_beta 90.00
_cell_angle_gamma 120.00
loop_
_atom_site_label
_atom_site_type_symbol
_atom_site_fract_x
_atom_site_fract_y
_atom_site_fract_z
Ce1 Ce 0.0000 0.0000 0.0000
Pm1 Pm 0.3333 0.6667 0.0000
In1 In 0.6667 0.3333 0.5000
# * total moment: 0.8 μB per formula unit



ii) # CePmIn | Alexandria | GGA-PBE | optimized geometry
data_CePmIn
_chemical_formula_sum 'Ce4 Pm4 In4'
_symmetry_space_group_name_H-M 'C m c m'
_symmetry_Int_Tables_number 63
_symmetry_space_group_name_Hall '-C 2c 2'
_cell_length_a 3.4988
_cell_length_b 17.7487
_cell_length_c 5.4209
_cell_angle_alpha 90.00
_cell_angle_beta 90.00
_cell_angle_gamma 90.00
loop_
_atom_site_label
_atom_site_type_symbol
_atom_site_fract_x
_atom_site_fract_y
_atom_site_fract_z
Ce1 Ce 0.0000 0.2363 0.2500
Pm1 Pm 0.0000 0.4357 0.7500
In1 In 0.0000 0.1062 0.7500
# * total moment: 0.2 μB per formula unit



Stability, lowest: i)



i) # Ce2PmIn2 | Alexandria | GGA-PBE | optimized geometry
data_Ce2PmIn2
_chemical_formula_sum 'Ce8 Pm4 In8'
_symmetry_space_group_name_H-M 'C 1 2/m 1'
_symmetry_Int_Tables_number 12
_cell_length_a 11.1466
_cell_length_b 5.3129
_cell_length_c 9.5578
_cell_angle_alpha 90.00
_cell_angle_beta 101.90
_cell_angle_gamma 90.00
loop_
_symmetry_equiv_pos_as_xyz
'x,y,z'
'-x,-y,-z'
'-x,y,-z'
'x,-y,z'
'x+1/2,y+1/2,z'
'-x+1/2,-y+1/2,-z'
'-x+1/2,y+1/2,-z'
'x+1/2,-y+1/2,z'
loop_
_atom_site_label
_atom_site_type_symbol
_atom_site_fract_x
_atom_site_fract_y
_atom_site_fract_z
Ce1 Ce 0.0685 0.0000 0.3505
Ce2 Ce 0.1171 0.0000 0.0778
Pm1 Pm 0.2385 0.0000 0.7445
In1 In 0.0603 0.5000 0.8635
In2 In 0.1321 0.5000 0.5680
# * total moment: 1.5 μB per formula unit



ii) # Ce2PmIn2 | Alexandria | GGA-PBE | optimized geometry
data_Ce2PmIn2
_chemical_formula_sum 'Ce4 Pm2 In4'
_symmetry_space_group_name_H-M 'P 4/m b m'
_symmetry_Int_Tables_number 127
_symmetry_space_group_name_Hall '-P 4 2ab'
_cell_length_a 9.3081
_cell_length_b 9.3081
_cell_length_c 3.3463
_cell_angle_alpha 90.00
_cell_angle_beta 90.00
_cell_angle_gamma 90.00
loop_
_atom_site_label
_atom_site_type_symbol
_atom_site_fract_x
_atom_site_fract_y
_atom_site_fract_z
Ce1 Ce 0.1023 0.3977 0.0000
Pm1 Pm 0.0000 0.0000 0.0000
In1 In 0.1900 0.6900 0.5000
# * total moment: 1.2 μB per formula unit



Stability, lowest: ii)



i) # CePm3In4 | Alexandria | GGA-PBE | optimized geometry
data_CePm3In4
_chemical_formula_sum 'Ce2 Pm6 In8'
_symmetry_space_group_name_H-M 'I m m m'
_symmetry_Int_Tables_number 71
_symmetry_space_group_name_Hall '-I 2 2'
_cell_length_a 3.5082
_cell_length_b 7.3305
_cell_length_c 19.1366
_cell_angle_alpha 90.00
_cell_angle_beta 90.00
_cell_angle_gamma 90.00
loop_
_atom_site_label
_atom_site_type_symbol
_atom_site_fract_x
_atom_site_fract_y
_atom_site_fract_z
Ce1 Ce 0.0000 0.0000 0.0000
Pm1 Pm 0.0000 0.0000 0.5000
Pm2 Pm 0.0000 0.5000 0.2821
In1 In 0.0000 0.2929 0.1275
# * total moment: 1.7 μB per formula unit



ii) # CePm3In4 | Alexandria | GGA-PBE | optimized geometry
data_CePm3In4
_chemical_formula_sum 'Ce1 Pm3 In4'
_symmetry_space_group_name_H-M 'P 4/m m m'
_symmetry_Int_Tables_number 123
_symmetry_space_group_name_Hall '-P 4 2'
_cell_length_a 3.8374
_cell_length_b 3.8374
_cell_length_c 15.5600
_cell_angle_alpha 90.00
_cell_angle_beta 90.00
_cell_angle_gamma 90.00
loop_
_atom_site_label
_atom_site_type_symbol
_atom_site_fract_x
_atom_site_fract_y
_atom_site_fract_z
Ce1 Ce 0.0000 0.0000 0.0000
Pm1 Pm 0.0000 0.0000 0.2515
Pm2 Pm 0.0000 0.0000 0.5000
In1 In 0.5000 0.5000 0.1277
In2 In 0.5000 0.5000 0.3754
# * total moment: 0.9 μB per formula unit



Stability, lowest: i)



i) # Ce2PmIn4 | Alexandria | GGA-PBE | optimized geometry
data_Ce2PmIn4
_chemical_formula_sum 'Ce4 Pm2 In8'
_symmetry_space_group_name_H-M 'I 4/m m m'
_symmetry_Int_Tables_number 139
_symmetry_space_group_name_Hall '-I 4 2'
_cell_length_a 5.1580
_cell_length_b 5.1580
_cell_length_c 15.9411
_cell_angle_alpha 90.00
_cell_angle_beta 90.00
_cell_angle_gamma 90.00
loop_
_atom_site_label
_atom_site_type_symbol
_atom_site_fract_x
_atom_site_fract_y
_atom_site_fract_z
Ce1 Ce 0.0000 0.0000 0.2478
Pm1 Pm 0.0000 0.0000 0.5000
In1 In 0.0000 0.5000 0.1141
# * total moment: 2.5 μB per formula unit



ii) # Ce2PmIn4 | Alexandria | GGA-PBE | optimized geometry
data_Ce2PmIn4
_chemical_formula_sum 'Ce4 Pm2 In8'
_symmetry_space_group_name_H-M 'C m m m'
_symmetry_Int_Tables_number 65
_symmetry_space_group_name_Hall '-C 2 2'
_cell_length_a 6.3514
_cell_length_b 14.0906
_cell_length_c 4.9166
_cell_angle_alpha 90.00
_cell_angle_beta 90.00
_cell_angle_gamma 90.00
loop_
_atom_site_label
_atom_site_type_symbol
_atom_site_fract_x
_atom_site_fract_y
_atom_site_fract_z
Ce1 Ce 0.0000 0.0984 0.0000
Pm1 Pm 0.0000 0.5000 0.5000
In1 In 0.0000 0.2458 0.5000
In2 In 0.0000 0.3564 0.0000
# * total moment: 2.6 μB per formula unit



Stability, lowest: ii)